Entry from Alexandria: an optimized crystal structure of HfAgAs2Br (PBE).

## Properties
ΔE to the lowest computed polymorph (kJ/mol of formula units): 331
Formation energy without anion corrections (eV per atom): 0.784
Space-group type: P4/mmm
Spin magnetization (μB/atom): 0.000
Energy (eV for the cell shown): -19.9
Crystal system: tetragonal

Lattice parameters (Å, degrees): 4.9645 4.9645 5.0357 90.00 90.00 90.00
Fractional coordinates of all 5 atoms:
Hf 0.0000 0.0000 0.0000
Ag 0.5000 0.5000 0.5000
As 0.0000 0.5000 0.5000
As 0.5000 0.0000 0.5000
Br 0.5000 0.5000 0.0000

---

Entry from Alexandria: an optimized crystal structure of CsRbIn2Bi2 (PBE).

## Properties
Formation energy from the elements (meV/atom): -203
Space-group type: P-3m1
Spin magnetization (μB/atom): 0.000
Energy (eV for the cell shown): -16.3
Crystal system: trigonal

Lattice parameters (Å, degrees): 5.3270 5.3270 11.3544 90.00 90.00 120.00
Fractional coordinates of all 6 atoms:
Cs 0.0000 0.0000 0.0000
Rb 0.0000 0.0000 0.5000
In 0.3333 0.6667 0.7388
In 0.6667 0.3333 0.2612
Bi 0.3333 0.6667 0.2609
Bi 0.6667 0.3333 0.7391

---

Entry from Alexandria: an optimized crystal structure of NaPu2O7 (PBE).

## Properties
Formation energy without anion corrections (eV per atom): -2.196
Space-group type: Cmmm
Spin magnetization (μB/atom): 0.300
Energy (eV for the cell shown): -86.7
Crystal system: orthorhombic

Lattice parameters (Å, degrees): 7.0692 7.0692 4.1396 90.00 90.00 127.15
Fractional coordinates of all 10 atoms:
Na 0.0000 0.0000 0.0000
Pu 0.3368 0.6632 0.5000
Pu 0.6632 0.3368 0.5000
O 0.0519 0.3549 0.5000
O 0.3343 0.6657 0.0000
O 0.3549 0.0519 0.5000
O 0.5000 0.5000 0.5000
O 0.6451 0.9481 0.5000
O 0.6657 0.3343 0.0000
O 0.9481 0.6451 0.5000

---

Entry from Alexandria: an optimized crystal structure of SrIn3Ag8 (PBE).

## Properties
ΔE to the lowest computed polymorph (kJ/mol of formula units): 14
Formation energy from the elements (meV/atom): -68
Space-group type: P3m1
Spin magnetization (μB/atom): 0.000
Energy (eV for the cell shown): -33.5
Crystal system: trigonal

Lattice parameters (Å, degrees): 5.6411 5.6411 9.4154 90.00 90.00 120.00
Fractional coordinates of all 12 atoms:
Sr 0.0000 0.0000 0.0000
In 0.0000 0.0000 0.3844
In 0.6667 0.3333 0.4972
In 0.6667 0.3333 0.8509
Ag 0.1648 0.3297 0.6807
Ag 0.1648 0.8352 0.6807
Ag 0.3333 0.6667 0.4330
Ag 0.3333 0.6667 0.9318
Ag 0.5024 0.0048 0.1884
Ag 0.5024 0.4976 0.1884
Ag 0.6703 0.8352 0.6807
Ag 0.9952 0.4976 0.1884

---

Entry from Alexandria: an optimized crystal structure of La2SbCl (PBE).

## Properties
Formation energy without anion corrections (eV per atom): -1.312
Space-group type: Amm2
Spin magnetization (μB/atom): 0.000
Energy (eV for the cell shown): -42.1
Crystal system: orthorhombic

Lattice parameters (Å, degrees): 4.6346 4.1823 12.5820 90.00 90.00 90.00
Fractional coordinates of all 8 atoms:
La 0.0000 0.0000 0.0000
La 0.0000 0.5000 0.5000
La 0.5000 0.0000 0.2758
La 0.5000 0.5000 0.7758
Sb 0.5000 0.0000 0.5510
Sb 0.5000 0.5000 0.0510
Cl 0.0000 0.0000 0.7764
Cl 0.0000 0.5000 0.2764

---

Copy entry 5 word for word.
Entry from Alexandria: an optimized crystal structure of La2SbCl (PBE).

## Properties
Formation energy without anion corrections (eV per atom): -1.312
Space-group type: Amm2
Spin magnetization (μB/atom): 0.000
Energy (eV for the cell shown): -42.1
Crystal system: orthorhombic

Lattice parameters (Å, degrees): 4.6346 4.1823 12.5820 90.00 90.00 90.00
Fractional coordinates of all 8 atoms:
La 0.0000 0.0000 0.0000
La 0.0000 0.5000 0.5000
La 0.5000 0.0000 0.2758
La 0.5000 0.5000 0.7758
Sb 0.5000 0.0000 0.5510
Sb 0.5000 0.5000 0.0510
Cl 0.0000 0.0000 0.7764
Cl 0.0000 0.5000 0.2764

---

Among the records above, which one has the highest spin magnetization? NaPu2O7

---

What is the energy in the fifth record? -42.1 eV for the cell shown

---

Which value of energy does entry 4 give? -33.5 eV for the cell shown